First-principles (PBE) data for a relaxed LiMg2Cu2Pd5 crystal, as listed in Alexandria via LeMat-Bulk.

Cell: 9.0185 9.0185 3.8946 Å, 90.00 90.00 90.00°
With the nearest neighbours (Å) after each atom.
Element x y z (fractional)
Li1 0.0000 0.0000 0.0000  8 Pd 2.74
Li2 0.5000 0.5000 0.0000  8 Pd 2.74
Mg1 0.1704 0.3296 0.0000  3 Cu 2.60-2.70
Mg2 0.3296 0.8296 0.0000  3 Cu 2.60-2.70
Mg3 0.6704 0.1704 0.0000  3 Cu 2.60-2.70
Mg4 0.8296 0.6704 0.0000  3 Cu 2.60-2.70
Cu1 0.1261 0.6261 0.0000  6 Pd 2.53-2.55, 3 Mg 2.60-2.70
Cu2 0.3739 0.1261 0.0000  6 Pd 2.53-2.55, 3 Mg 2.60-2.70
Cu3 0.6261 0.8739 0.0000  6 Pd 2.53-2.55, 3 Mg 2.60-2.70
Cu4 0.8739 0.3739 0.0000  6 Pd 2.53-2.55, 3 Mg 2.60-2.70
Pd1 0.0000 0.5000 0.5000  4 Cu 2.53
Pd2 0.0812 0.8031 0.5000  2 Cu 2.55, 4 Pd 2.72-2.83, 2 Li 2.74
Pd3 0.1969 0.0812 0.5000  2 Cu 2.55, 4 Pd 2.72-2.83, 2 Li 2.74
Pd4 0.3031 0.5812 0.5000  2 Cu 2.55, 4 Pd 2.72-2.83, 2 Li 2.74
Pd5 0.4188 0.3031 0.5000  2 Cu 2.55, 4 Pd 2.72-2.83, 2 Li 2.74
Pd6 0.5000 0.0000 0.5000  4 Cu 2.53
Pd7 0.5812 0.6969 0.5000  2 Cu 2.55, 4 Pd 2.72-2.83, 2 Li 2.74
Pd8 0.6969 0.4188 0.5000  2 Cu 2.55, 4 Pd 2.72-2.83, 2 Li 2.74
Pd9 0.8031 0.9188 0.5000  2 Cu 2.55, 4 Pd 2.72-2.83, 2 Li 2.74
Pd10 0.9188 0.1969 0.5000  2 Cu 2.55, 4 Pd 2.72-2.83, 2 Li 2.74

Computed properties:
E, eV/cell: -85.0